(1)
## Er3PuTe6 (PBE)

Data for an optimized crystal structure of Er3PuTe6.

It has space group P2_1/m (No. 11), with a = 12.4383 Å, b = 4.3448 Å, c = 12.7227 Å, α = 90.00°, β = 109.41° and γ = 90.00°. Symmetry generates all atoms from Er at (0.0669, 0.2500, 0.1645), Er at (0.1822, 0.7500, 0.5016), Er at (0.3458, 0.2500, 0.9205), Pu at (0.4540, 0.2500, 0.3060), Te at (0.0174, 0.2500, 0.3820), Te at (0.1079, 0.2500, 0.9383), Te at (0.2445, 0.7500, 0.2782), Te at (0.3043, 0.7500, 0.7505), Te at (0.3842, 0.2500, 0.5354) and Te at (0.4164, 0.7500, 0.1000).

For the density, the calculation gives 7740 kg/m³. The calculation puts the density of states at the Fermi level at 1.3136 states/eV/atom. The uncorrected formation energy is -12.574 eV per formula unit. For the magnetization, the calculation gives 10.0 Bohr magnetons per cell.

(2)
## Er2PuTe (PBE)

Data for an optimized crystal structure of Er2PuTe.

It has space group R-3m (No. 166, hexagonal axes), with a = 3.7369 Å, b = 3.7369 Å, c = 32.0031 Å, α = 90.00°, β = 90.00° and γ = 120.00°. Symmetry generates all atoms from Er at (0.0000, 0.0000, 0.1009), Pu at (0.0000, 0.0000, 0.0000) and Te at (0.0000, 0.0000, 0.5000).

For the density, the calculation gives 9089 kg/m³. The calculation puts the density of states at the Fermi level at 2.8001 states/eV/atom. The uncorrected formation energy is -0.377 eV per formula unit. The distance to the lowest polymorph of the same formula is 350 meV/atom. For the magnetization, the calculation gives 20.7 Bohr magnetons per cell.

(3)
## Er2PuTe (PBE)

Data for an optimized crystal structure of Er2PuTe.

It has space group R3m (No. 160, hexagonal axes), with a = 3.7831 Å, b = 3.7831 Å, c = 29.4220 Å, α = 90.00°, β = 90.00° and γ = 120.00°. Symmetry generates all atoms from Er at (0.0000, 0.0000, 0.0000), Er at (0.0000, 0.0000, 0.1875), Pu at (0.0000, 0.0000, 0.4269) and Te at (0.0000, 0.0000, 0.5939).

For the density, the calculation gives 9646 kg/m³. The calculation puts the density of states at the Fermi level at 2.6578 states/eV/atom. The uncorrected formation energy is -1.542 eV per formula unit. The distance to the lowest polymorph of the same formula is 59 meV/atom. For the magnetization, the calculation gives 21.0 Bohr magnetons per cell.

(4)
## Er3Pu5Te8 (PBE)

Data for an optimized crystal structure of Er3Pu5Te8.

It has space group R-3m (No. 166, hexagonal axes), with a = 8.7627 Å, b = 8.7627 Å, c = 21.5835 Å, α = 90.00°, β = 90.00° and γ = 120.00°. Symmetry generates all atoms from Er at (0.0000, 0.5000, 0.0000), Pu at (0.0000, 0.0000, 0.0000), Pu at (0.0000, 0.0000, 0.5000), Pu at (0.0000, 0.5000, 0.5000), Te at (0.0000, 0.0000, 0.2528) and Te at (0.0034, 0.5017, 0.2517).

For the density, the calculation gives 9519 kg/m³. The calculation puts the density of states at the Fermi level at 3.1729 states/eV/atom. The uncorrected formation energy is -18.594 eV per formula unit. For the magnetization, the calculation gives 89.6 Bohr magnetons per cell.

(5)
## ErPu2Te3 (PBE)

Data for an optimized crystal structure of ErPu2Te3.

It has space group Immm (No. 71), with a = 4.3907 Å, b = 6.2252 Å, c = 13.1733 Å, α = 90.00°, β = 90.00° and γ = 90.00°. Symmetry generates all atoms from Er at (0.0000, 0.0000, 0.0000), Pu at (0.0000, 0.0000, 0.3319), Te at (0.0000, 0.5000, 0.0000) and Te at (0.0000, 0.5000, 0.3374).

For the density, the calculation gives 9575 kg/m³. The calculation puts the density of states at the Fermi level at 3.7315 states/eV/atom. The uncorrected formation energy is -6.881 eV per formula unit. For the magnetization, the calculation gives 23.8 Bohr magnetons per cell.

(6)
## Er2PuTe4 (PBE)

Data for an optimized crystal structure of Er2PuTe4.

It has space group Cmcm (No. 63), with a = 4.3041 Å, b = 14.2123 Å, c = 14.8705 Å, α = 90.00°, β = 90.00° and γ = 90.00°. Symmetry generates all atoms from Er at (0.0000, 0.1339, 0.0671), Pu at (0.0000, 0.3807, 0.2500), Te at (0.0000, 0.0444, 0.2500), Te at (0.0000, 0.2253, 0.6210) and Te at (0.0000, 0.5000, 0.0000).

For the density, the calculation gives 7951 kg/m³. The calculation puts the density of states at the Fermi level at 2.5417 states/eV/atom. The uncorrected formation energy is -8.748 eV per formula unit. The distance to the lowest polymorph of the same formula is 0 meV/atom. For the magnetization, the calculation gives 22.9 Bohr magnetons per cell.